GaTe3Os | the Alexandria database | PBE | relaxed; total moment = 0.00 Bohr magnetons per cell; energy relative to the lowest polymorph listed for this composition = 0.000 eV per atom
1.0
5.309 0.000 0.000
0.000 5.309 0.000
0.000 0.000 5.309
Ga Te Os
1 3 1
direct
0.000 0.000 0.000
0.000 0.500 0.500
0.500 0.000 0.500
0.500 0.500 0.000
0.500 0.500 0.500

***

GaTeOs3 | the Alexandria database | PBE | relaxed; total moment = 0.00 Bohr magnetons per cell; energy relative to the lowest polymorph listed for this composition = 0.000 eV per atom
1.0
4.577 0.000 0.000
0.000 4.577 0.000
0.000 0.000 4.577
Ga Te Os
1 1 3
direct
0.000 0.000 0.000
0.500 0.500 0.500
0.000 0.000 0.500
0.000 0.500 0.000
0.500 0.000 0.000

***

What is the energy relative to the lowest polymorph listed for this composition in the first record? 0.000 eV per atom

***

Which formula does entry 2 have? GaTeOs3